Here is crystalline Mn2TlIr at its relaxed geometry from the Alexandria database. Energies are from PBEsol.

As for the magnetization: 7.8 μB/f.u. Its final energy is -7.5934 eV per atom.

Lattice parameters (Å, degrees): 4.451 4.451 6.264 90.00 90.00 90.00
Space group I4/mmm (No. 139)
One atom of each set of equivalent atoms:
Mn 0.000 0.500 0.250 [4 per cell]
Tl 0.000 0.000 0.000 [2 per cell]
Ir 0.000 0.000 0.500 [2 per cell]



Here is crystalline Zn2SiW at its relaxed geometry from the Alexandria database. Energies are from PBEsol.

As for the energy relative to the elements, uncorrected: 0.254 eV/atom. As for the magnetization: 0.0 μB/f.u. Its final energy is -5.4253 eV per atom.

Lattice parameters (Å, degrees): 2.667 2.667 8.190 90.00 90.00 90.00
Space group P4mm (No. 99)
One atom of each set of equivalent atoms:
Zn 0.000 0.000 0.000 [1 per cell]
Zn 0.500 0.500 0.240 [1 per cell]
Si 0.000 0.000 0.507 [1 per cell]
W 0.500 0.500 0.749 [1 per cell]



Here is crystalline FeSiOs2 at its relaxed geometry from the Alexandria database. Energies are from PBEsol.

As for the energy relative to the elements, uncorrected: -0.094 eV/atom. As for the magnetization: 2.6 μB/f.u. Its final energy is -9.8797 eV per atom.

Lattice parameters (Å, degrees): 2.909 2.909 5.964 90.00 90.00 90.00
Space group P4/mmm (No. 123)
One atom of each set of equivalent atoms:
Fe 0.000 0.000 0.000 [1 per cell]
Si 0.000 0.000 0.500 [1 per cell]
Os 0.500 0.500 0.263 [2 per cell]



Here is crystalline B2H2Os at its relaxed geometry from the Alexandria database. Energies are from PBEsol.

As for the magnetization: 0.0 μB/f.u. Its final energy is -5.9857 eV per atom.

Lattice parameters (Å, degrees): 5.051 5.051 2.718 90.00 90.00 90.00
Space group P4/mbm (No. 127)
One atom of each set of equivalent atoms:
B 0.120 0.380 0.000 [4 per cell]
H 0.227 0.273 0.500 [4 per cell]
Os 0.000 0.000 0.500 [2 per cell]



Here is crystalline Na3B5H2O10 at its relaxed geometry from the Alexandria database. Energies are from PBEsol.

As for the magnetization: 0.0 μB/f.u. Its final energy is -7.1109 eV per atom.

Lattice parameters (Å, degrees): 11.240 6.056 11.101 90.00 90.00 90.00
Space group Pca2_1 (No. 29)
One atom of each set of equivalent atoms:
Na 0.076 0.025 0.000 [4 per cell]
Na 0.139 0.408 0.493 [4 per cell]
Na 0.245 0.151 0.249 [4 per cell]
B 0.039 0.775 0.751 [4 per cell]
B 0.041 0.830 0.240 [4 per cell]
B 0.087 0.433 0.870 [4 per cell]
B 0.104 0.539 0.092 [4 per cell]
B 0.248 0.636 0.255 [4 per cell]
H 0.180 0.908 0.570 [4 per cell]
H 0.181 0.899 0.424 [4 per cell]
O 0.005 0.614 0.830 [4 per cell]
O 0.033 0.715 0.121 [4 per cell]
O 0.044 0.072 0.214 [4 per cell]
O 0.062 0.219 0.814 [4 per cell]
O 0.066 0.401 0.002 [4 per cell]
O 0.154 0.778 0.300 [4 per cell]
O 0.154 0.784 0.707 [4 per cell]
O 0.202 0.996 0.497 [4 per cell]
O 0.210 0.498 0.150 [4 per cell]
O 0.211 0.495 0.852 [4 per cell]



Here is crystalline Mn2InPb at its relaxed geometry from the Alexandria database. Energies are from PBEsol.

As for the magnetization: 0.2 μB/f.u. Its final energy is -6.1342 eV per atom. For the distance to the lowest polymorph of the same formula, the calculation gives 0.00 kcal/mol of atoms.

Lattice parameters (Å, degrees): 3.2215 3.2215 25.6845 90.00 90.00 120.00
Space group R3m (No. 160, hexagonal axes)
One atom of each set of equivalent atoms:
Mn 0.0000 0.0000 0.0000 [3 per cell]
Mn 0.0000 0.0000 0.2788 [3 per cell]
In 0.0000 0.0000 0.7490 [3 per cell]
Pb 0.0000 0.0000 0.5229 [3 per cell]



Here is crystalline AsI3 at its relaxed geometry from the Alexandria database. Energies are from PBEsol.

As for the energy relative to the elements, uncorrected: -0.190 eV/atom. As for the magnetization: 0.0 μB/f.u. Its final energy is -2.7913 eV per atom.

Lattice parameters (Å, degrees): 7.0714 7.0714 20.1838 90.00 90.00 120.00
Space group R-3 (No. 148, hexagonal axes)
One atom of each set of equivalent atoms:
As 0.0000 0.0000 0.1678 [6 per cell]
I 0.0019 0.3472 0.4177 [18 per cell]



Here is crystalline P2HSe at its relaxed geometry from the Alexandria database. Energies are from PBEsol.

As for the magnetization: 0.0 μB/f.u. Its final energy is -4.0400 eV per atom.

Lattice parameters (Å, degrees): 5.076 5.076 9.157 90.00 90.00 90.00
Space group I-42d (No. 122)
One atom of each set of equivalent atoms:
P 0.135 0.250 0.125 [8 per cell]
H 0.000 0.000 0.000 [4 per cell]
Se 0.000 0.000 0.500 [4 per cell]



Here is crystalline MnCoSi2 at its relaxed geometry from the Alexandria database. Energies are from PBEsol.

As for the energy relative to the elements, uncorrected: -0.058 eV/atom. As for the magnetization: 2.6 μB/f.u. Its final energy is -7.3058 eV per atom. For the distance to the lowest polymorph of the same formula, the calculation gives 12.56 kcal/mol of atoms.

Lattice parameters (Å, degrees): 2.6799 2.6799 22.4382 90.00 90.00 120.00
Space group R3m (No. 160, hexagonal axes)
One atom of each set of equivalent atoms:
Mn 0.0000 0.0000 0.0000 [3 per cell]
Co 0.0000 0.0000 0.2467 [3 per cell]
Si 0.0000 0.0000 0.5049 [3 per cell]
Si 0.0000 0.0000 0.7465 [3 per cell]



Here is crystalline TlCdFe2B at its relaxed geometry from the Alexandria database. Energies are from PBEsol.

As for the magnetization: 3.9 μB/f.u. Its final energy is -5.2746 eV per atom.

Lattice parameters (Å, degrees): 4.029 4.029 4.451 90.00 90.00 90.00
Space group P4/mmm (No. 123)
One atom of each set of equivalent atoms:
Tl 0.000 0.000 0.000 [1 per cell]
Cd 0.500 0.500 0.000 [1 per cell]
Fe 0.000 0.500 0.500 [2 per cell]
B 0.500 0.500 0.500 [1 per cell]



Here is crystalline TcAs2 at its relaxed geometry from the Alexandria database. Energies are from PBEsol.

As for the magnetization: 0.0 μB/f.u. Its final energy is -7.3469 eV per atom. For the distance to the lowest polymorph of the same formula, the calculation gives 0.56 kcal/mol of atoms.

Lattice parameters (Å, degrees): 12.356 3.079 6.209 90.00 118.31 90.00
Space group C2/m (No. 12)
One atom of each set of equivalent atoms:
Tc 0.243 0.000 0.304 [4 per cell]
As 0.080 0.500 0.279 [4 per cell]
As 0.142 0.000 0.841 [4 per cell]



Here is crystalline NaLiNiB2 at its relaxed geometry from the Alexandria database. Energies are from PBEsol.

As for the magnetization: 0.0 μB/f.u. Its final energy is -3.2775 eV per atom.

Lattice parameters (Å, degrees): 3.791 3.791 3.943 90.00 90.00 90.00
Space group P4/mmm (No. 123)
One atom of each set of equivalent atoms:
Na 0.000 0.000 0.000 [1 per cell]
Li 0.500 0.500 0.500 [1 per cell]
Ni 0.500 0.500 0.000 [1 per cell]
B 0.000 0.500 0.500 [2 per cell]